! MnHgSbTe2 (GGA-PBE, relaxed); values from VASP
! Volume = 171 Å³ per cell
! E above lowest polymorph = 1.210 eV per atom
! Total DFT energy (no corrections) = -12.30 eV/cell
! Formation energy from raw total energies = 1.516 eV per atom
! Density = 6.1 g/cm3
! Crystal system = tetragonal
&SYSTEM
  ibrav = 0, nat = 5, ntyp = 4
/
ATOMIC_SPECIES
Sb 121.76 Sb.upf
Te 127.60 Te.upf
Hg 200.59 Hg.upf
Mn 54.94 Mn.upf
CELL_PARAMETERS angstrom
-1.459 -0.183 5.395
-5.060 -1.901 -1.433
1.844 -5.153 0.324
ATOMIC_POSITIONS crystal
Sb 0.000 0.000 0.500
Te 0.000 0.500 0.000
Te 0.500 0.000 0.000
Hg 0.000 0.000 0.000
Mn 0.500 0.500 0.500